1.
BaCdCu: PBEsol geometry, meta-GGA SCAN.

Calculated values
SG: No. 187
energy of formation: -131 meV/atom
magnetic moment: 0.00 μB/atom

Lattice parameters (Å, degrees): 4.6519 4.6519 4.4881 90.00 90.00 120.00
Fractional positions:
Ba1 0.0000 0.0000 0.0000
Cd1 0.3333 0.6667 0.5000
Cu1 0.6667 0.3333 0.5000

=====

2.
ZrTaMo2: PBEsol geometry, meta-GGA SCAN.

Calculated values
SG: No. 44
energy of formation: -74 meV/atom
magnetic moment: 0.00 μB/atom
ΔE to the lowest computed polymorph: 0.00 kJ/mol of atoms

Lattice parameters (Å, degrees): 5.4456 5.4456 5.4456 145.61 130.64 61.54
Fractional positions:
Zr1 0.0000 0.0000 0.0000
Ta1 0.7329 0.2329 0.5000
Mo1 0.2558 0.7558 0.5000
Mo2 0.4856 0.4856 0.0000

=====

3.
CoOsRh2: PBEsol geometry, meta-GGA SCAN.

Calculated values
SG: No. 12
energy of formation: 107 meV/atom
magnetic moment: 0.43 μB/atom
ΔE to the lowest computed polymorph: 4.72 kJ/mol of atoms

Lattice parameters (Å, degrees): 4.5629 4.5629 4.5193 99.67 99.67 33.57
Fractional positions:
Co1 0.0000 0.0000 0.0000
Os1 0.5000 0.5000 0.5000
Rh1 0.2514 0.2514 0.7529
Rh2 0.7486 0.7486 0.2471

=====

4.
LiWCl3: PBEsol geometry, meta-GGA SCAN.

Calculated values
uncorrected formation energy: -0.32 eV per atom
SG: No. 221
magnetic moment: 0.42 μB/atom

Lattice parameters (Å, degrees): 4.8046 4.8046 4.8046 90.00 90.00 90.00
Fractional positions:
Li1 0.0000 0.0000 0.0000
W1 0.5000 0.5000 0.5000
Cl1 0.0000 0.5000 0.5000
Cl2 0.5000 0.0000 0.5000
Cl3 0.5000 0.5000 0.0000

=====

5.
HfHN3: PBEsol geometry, meta-GGA SCAN.

Calculated values
SG: No. 221
electronic total energy: -17.4517 eV per atom
magnetic moment: 1.17 μB/atom

Lattice parameters (Å, degrees): 4.1702 4.1702 4.1702 90.00 90.00 90.00
Fractional positions:
Hf1 0.0000 0.0000 0.0000
H1 0.5000 0.5000 0.5000
N1 0.0000 0.0000 0.5000
N2 0.0000 0.5000 0.0000
N3 0.5000 0.0000 0.0000

=====

6.
TiTlPd3: PBEsol geometry, meta-GGA SCAN.

Calculated values
SG: No. 221
energy of formation: 411 meV/atom
magnetic moment: 0.06 μB/atom
ΔE to the lowest computed polymorph: 0.00 kJ/mol of atoms

Lattice parameters (Å, degrees): 4.6486 4.6486 4.6486 90.00 90.00 90.00
Fractional positions:
Ti1 0.0000 0.0000 0.0000
Tl1 0.5000 0.5000 0.5000
Pd1 0.0000 0.0000 0.5000
Pd2 0.0000 0.5000 0.0000
Pd3 0.5000 0.0000 0.0000

=====

7.
BaScTc: PBEsol geometry, meta-GGA SCAN.

Calculated values
SG: No. 216
energy of formation: 1723 meV/atom
magnetic moment: 0.00 μB/atom
ΔE to the lowest computed polymorph: 105.66 kJ/mol of atoms

Lattice parameters (Å, degrees): 4.6786 4.6786 4.6786 60.00 60.00 60.00
Fractional positions:
Ba1 0.0000 0.0000 0.0000
Sc1 0.2500 0.2500 0.2500
Tc1 0.7500 0.7500 0.7500

=====

8.
ZnTePd3: PBEsol geometry, meta-GGA SCAN.

Calculated values
uncorrected formation energy: 0.44 eV per atom
SG: No. 221
magnetic moment: 0.00 μB/atom

Lattice parameters (Å, degrees): 4.8546 4.8546 4.8546 90.00 90.00 90.00
Fractional positions:
Zn1 0.0000 0.0000 0.0000
Te1 0.5000 0.5000 0.5000
Pd1 0.0000 0.5000 0.5000
Pd2 0.5000 0.0000 0.5000
Pd3 0.5000 0.5000 0.0000

=====

9.
YWSe2: PBEsol geometry, meta-GGA SCAN.

Calculated values
uncorrected formation energy: -0.20 eV per atom
SG: No. 160
magnetic moment: 0.09 μB/atom
ΔE to the lowest computed polymorph: 25.52 kJ/mol of atoms

Lattice parameters (Å, degrees): 8.9257 8.9257 8.9257 21.86 21.86 21.86
Fractional positions:
Y1 0.0000 0.0000 0.0000
W1 0.7589 0.7589 0.7589
Se1 0.2575 0.2575 0.2575
Se2 0.4864 0.4864 0.4864

=====

10.
Sr2CdCuH: PBEsol geometry, meta-GGA SCAN.

Calculated values
SG: No. 123
electronic total energy: -18.6066 eV per atom
magnetic moment: 0.00 μB/atom

Lattice parameters (Å, degrees): 5.9056 5.9056 3.6054 90.00 90.00 90.00
Fractional positions:
Sr1 0.0000 0.5000 0.0000
Sr2 0.5000 0.0000 0.0000
Cd1 0.0000 0.0000 0.5000
Cu1 0.5000 0.5000 0.0000
H1 0.5000 0.5000 0.5000

=====

11.
HfN: PBEsol geometry, meta-GGA SCAN.

Calculated values
uncorrected formation energy: -1.94 eV per atom
SG: No. 194
magnetic moment: 0.00 μB/atom

Lattice parameters (Å, degrees): 3.1182 3.1182 5.3806 90.00 90.00 120.00
Fractional positions:
Hf1 0.3333 0.6667 0.2500
Hf2 0.6667 0.3333 0.7500
N1 0.0000 0.0000 0.0000
N2 0.0000 0.0000 0.5000

=====

12.
CaNiRh2: PBEsol geometry, meta-GGA SCAN.

Calculated values
SG: No. 119
energy of formation: 112 meV/atom
magnetic moment: 0.00 μB/atom

Lattice parameters (Å, degrees): 4.7555 4.7555 4.7555 131.09 131.09 71.68
Fractional positions:
Ca1 0.0000 0.0000 0.0000
Ni1 0.7500 0.2500 0.5000
Rh1 0.2500 0.7500 0.5000
Rh2 0.5000 0.5000 0.0000

=====

13.
KRb2TlF6: PBEsol geometry, meta-GGA SCAN.

Calculated values
uncorrected formation energy: -2.57 eV per atom
SG: No. 225
magnetic moment: 0.00 μB/atom

Lattice parameters (Å, degrees): 6.5510 6.5510 6.5510 60.00 60.00 60.00
Fractional positions:
K1 0.0000 0.0000 0.0000
Rb1 0.2500 0.2500 0.2500
Rb2 0.7500 0.7500 0.7500
Tl1 0.5000 0.5000 0.5000
F1 0.2666 0.2666 0.7334
F2 0.2666 0.7334 0.2666
F3 0.2666 0.7334 0.7334
F4 0.7334 0.2666 0.2666
F5 0.7334 0.2666 0.7334
F6 0.7334 0.7334 0.2666

=====

14.
Ta2TlTe: PBEsol geometry, meta-GGA SCAN.

Calculated values
uncorrected formation energy: 0.76 eV per atom
SG: No. 216
magnetic moment: 0.00 μB/atom

Lattice parameters (Å, degrees): 4.8784 4.8784 4.8784 60.00 60.00 60.00
Fractional positions:
Ta1 0.0000 0.0000 0.0000
Ta2 0.2500 0.2500 0.2500
Tl1 0.5000 0.5000 0.5000
Te1 0.7500 0.7500 0.7500

=====

15.
Li2CaZn: PBEsol geometry, meta-GGA SCAN.

Calculated values
SG: No. 8
energy of formation: -86 meV/atom
magnetic moment: 0.00 μB/atom

Lattice parameters (Å, degrees): 4.5532 4.5532 5.6071 114.24 114.24 61.04
Fractional positions:
Li1 0.0000 0.0000 0.0000
Li2 0.7246 0.7246 0.1731
Ca1 0.2100 0.2100 0.6266
Zn1 0.4205 0.4205 0.2610

=====

16.
NbSnSb3: PBEsol geometry, meta-GGA SCAN.

Calculated values
uncorrected formation energy: 1.36 eV per atom
SG: No. 221
magnetic moment: 0.63 μB/atom
ΔE to the lowest computed polymorph: 86.17 kJ/mol of atoms

Lattice parameters (Å, degrees): 5.4274 5.4274 5.4274 90.00 90.00 90.00
Fractional positions:
Nb1 0.0000 0.0000 0.0000
Sn1 0.5000 0.5000 0.5000
Sb1 0.0000 0.5000 0.5000
Sb2 0.5000 0.0000 0.5000
Sb3 0.5000 0.5000 0.0000

=====

17.
NiTe2As: PBEsol geometry, meta-GGA SCAN.

Calculated values
uncorrected formation energy: 0.42 eV per atom
SG: No. 123
magnetic moment: 0.00 μB/atom

Lattice parameters (Å, degrees): 3.3662 3.3662 6.9555 90.00 90.00 90.00
Fractional positions:
Ni1 0.0000 0.0000 0.0000
Te1 0.5000 0.5000 0.2223
Te2 0.5000 0.5000 0.7777
As1 0.0000 0.0000 0.5000

=====

18.
YCdIr2: PBEsol geometry, meta-GGA SCAN.

Calculated values
SG: No. 119
energy of formation: -233 meV/atom
magnetic moment: 0.00 μB/atom

Lattice parameters (Å, degrees): 5.2099 5.2099 5.2099 134.74 134.74 65.93
Fractional positions:
Y1 0.0000 0.0000 0.0000
Cd1 0.7500 0.2500 0.5000
Ir1 0.2500 0.7500 0.5000
Ir2 0.5000 0.5000 0.0000

=====

19.
CaGaTeW2: PBEsol geometry, meta-GGA SCAN.

Calculated values
uncorrected formation energy: 1.43 eV per atom
SG: No. 123
magnetic moment: 0.00 μB/atom

Lattice parameters (Å, degrees): 4.6911 4.6911 5.3295 90.00 90.00 90.00
Fractional positions:
Ca1 0.0000 0.0000 0.0000
Ga1 0.5000 0.5000 0.5000
Te1 0.5000 0.5000 0.0000
W1 0.0000 0.5000 0.5000
W2 0.5000 0.0000 0.5000

=====

20.
FeTeRh: PBEsol geometry, meta-GGA SCAN.

Calculated values
uncorrected formation energy: 0.05 eV per atom
SG: No. 107
magnetic moment: 1.08 μB/atom

Lattice parameters (Å, degrees): 4.5987 4.5987 4.5987 135.42 135.42 64.88
Fractional positions:
Fe1 0.0000 0.0000 0.0000
Te1 0.6758 0.6758 0.0000
Rh1 0.3410 0.3410 0.0000

=====

21.
CoSe2O5: PBEsol geometry, meta-GGA SCAN.

Calculated values
uncorrected formation energy: -0.96 eV per atom
SG: No. 60
magnetic moment: 0.38 μB/atom

Lattice parameters (Å, degrees): 6.8381 10.2220 5.9345 90.00 90.00 90.00
Fractional positions:
Co1 0.0000 0.0598 0.2500
Co2 0.0000 0.9402 0.7500
Co3 0.5000 0.4402 0.7500
Co4 0.5000 0.5598 0.2500
Se1 0.1346 0.3461 0.0260
Se2 0.1346 0.6539 0.5260
Se3 0.3654 0.1539 0.5260
Se4 0.3654 0.8461 0.0260
Se5 0.6346 0.1539 0.9740
Se6 0.6346 0.8461 0.4740
Se7 0.8654 0.3461 0.4740
Se8 0.8654 0.6539 0.9740
O1 0.0000 0.4367 0.2500
O2 0.0000 0.5633 0.7500
O3 0.1503 0.0666 0.5513
O4 0.1503 0.9334 0.0513
O5 0.1938 0.2058 0.1658
O6 0.1938 0.7942 0.6658
O7 0.3062 0.2942 0.6658
O8 0.3062 0.7058 0.1658
O9 0.3497 0.4334 0.0513
O10 0.3497 0.5666 0.5513
O11 0.5000 0.0633 0.7500
O12 0.5000 0.9367 0.2500
O13 0.6503 0.4334 0.4487
O14 0.6503 0.5666 0.9487
O15 0.6938 0.2942 0.8342
O16 0.6938 0.7058 0.3342
O17 0.8062 0.2058 0.3342
O18 0.8062 0.7942 0.8342
O19 0.8497 0.0666 0.9487
O20 0.8497 0.9334 0.4487

=====

22.
MgAs2Au: PBEsol geometry, meta-GGA SCAN.

Calculated values
SG: No. 166
energy of formation: -131 meV/atom
magnetic moment: 0.00 μB/atom

Lattice parameters (Å, degrees): 6.3527 6.3527 6.3527 36.02 36.02 36.02
Fractional positions:
Mg1 0.0000 0.0000 0.0000
As1 0.2408 0.2408 0.2408
As2 0.7592 0.7592 0.7592
Au1 0.5000 0.5000 0.5000

=====

23.
Zr3Mn: PBEsol geometry, meta-GGA SCAN.

Calculated values
SG: No. 62
energy of formation: 16 meV/atom
magnetic moment: 0.00 μB/atom

Lattice parameters (Å, degrees): 6.2517 8.6974 5.6881 90.00 90.00 90.00
Fractional positions:
Zr1 0.0395 0.2500 0.1331
Zr2 0.1782 0.0596 0.6647
Zr3 0.1782 0.4404 0.6647
Zr4 0.3218 0.5596 0.1647
Zr5 0.3218 0.9404 0.1647
Zr6 0.4605 0.7500 0.6331
Zr7 0.5395 0.2500 0.3669
Zr8 0.6782 0.0596 0.8353
Zr9 0.6782 0.4404 0.8353
Zr10 0.8218 0.5596 0.3353
Zr11 0.8218 0.9404 0.3353
Zr12 0.9605 0.7500 0.8669
Mn1 0.1125 0.7500 0.4295
Mn2 0.3875 0.2500 0.9295
Mn3 0.6125 0.7500 0.0705
Mn4 0.8875 0.2500 0.5705

=====

24.
Si2MoAsO: PBEsol geometry, meta-GGA SCAN.

Calculated values
uncorrected formation energy: 1.71 eV per atom
SG: No. 123
magnetic moment: 0.21 μB/atom

Lattice parameters (Å, degrees): 4.6038 4.6038 4.7228 90.00 90.00 90.00
Fractional positions:
Si1 0.0000 0.5000 0.0000
Si2 0.5000 0.0000 0.0000
Mo1 0.0000 0.0000 0.5000
As1 0.0000 0.0000 0.0000
O1 0.5000 0.5000 0.5000

=====

25.
MgSiW2: PBEsol geometry, meta-GGA SCAN.

Calculated values
uncorrected formation energy: 0.61 eV per atom
SG: No. 123
magnetic moment: 0.00 μB/atom

Lattice parameters (Å, degrees): 4.6704 4.6704 2.7481 90.00 90.00 90.00
Fractional positions:
Mg1 0.0000 0.0000 0.0000
Si1 0.5000 0.5000 0.0000
W1 0.0000 0.5000 0.5000
W2 0.5000 0.0000 0.5000

=====

26.
Cd3GePb: PBEsol geometry, meta-GGA SCAN.

Calculated values
SG: No. 221
energy of formation: 369 meV/atom
magnetic moment: 0.00 μB/atom

Lattice parameters (Å, degrees): 5.1461 5.1461 5.1461 90.00 90.00 90.00
Fractional positions:
Cd1 0.0000 0.0000 0.5000
Cd2 0.0000 0.5000 0.0000
Cd3 0.5000 0.0000 0.0000
Ge1 0.0000 0.0000 0.0000
Pb1 0.5000 0.5000 0.5000

=====

27.
NaZrBe2Ga: PBEsol geometry, meta-GGA SCAN.

Calculated values
SG: No. 123
energy of formation: 1617 meV/atom
magnetic moment: 0.00 μB/atom

Lattice parameters (Å, degrees): 4.7221 4.7221 5.6280 90.00 90.00 90.00
Fractional positions:
Na1 0.0000 0.0000 0.0000
Zr1 0.0000 0.0000 0.5000
Be1 0.0000 0.5000 0.5000
Be2 0.5000 0.0000 0.5000
Ga1 0.5000 0.5000 0.0000